K4Sc3PaTe8: optimized geometry, PBE.

Unit cell a=9.666 b=9.666 c=9.666 alpha=53.40 beta=53.40 gamma=53.40
Element x y z (fractional)
1 K 0.000 0.000 0.000
2 K 0.000 0.500 0.500
3 K 0.500 0.000 0.500
4 K 0.500 0.500 0.000
5 Sc 0.000 0.000 0.500
6 Sc 0.000 0.500 0.000
7 Sc 0.500 0.000 0.000
8 Pa 0.500 0.500 0.500
9 Te 0.225 0.740 0.740
10 Te 0.232 0.232 0.232
11 Te 0.260 0.260 0.775
12 Te 0.260 0.775 0.260
13 Te 0.740 0.225 0.740
14 Te 0.740 0.740 0.225
15 Te 0.768 0.768 0.768
16 Te 0.775 0.260 0.260

Output
Space group ... R-3m, No. 166
Magnetization ... 1.9 μB/f.u.
VASP energy ... -76.60 eV/cell



K2Sc2PaTe6: optimized geometry, PBE.

Unit cell a=7.428 b=7.428 c=8.806 alpha=97.91 beta=97.91 gamma=120.17
Element x y z (fractional)
1 K 0.163 0.837 0.000
2 K 0.837 0.163 0.000
3 Sc 0.332 0.668 0.500
4 Sc 0.668 0.332 0.500
5 Pa 0.000 0.000 0.500
6 Te 0.068 0.409 0.701
7 Te 0.281 0.281 0.300
8 Te 0.409 0.068 0.701
9 Te 0.591 0.932 0.299
10 Te 0.719 0.719 0.700
11 Te 0.932 0.591 0.299

Output
Space group ... C2/m, No. 12
Magnetization ... 1.1 μB/f.u.
VASP energy ... -55.80 eV/cell



K3ScPa2Te6: optimized geometry, PBE.

Unit cell a=7.588 b=7.588 c=8.776 alpha=98.30 beta=98.30 gamma=119.97
Element x y z (fractional)
1 K 0.000 0.000 0.000
2 K 0.330 0.670 0.000
3 K 0.670 0.330 0.000
4 Sc 0.500 0.500 0.500
5 Pa 0.166 0.834 0.500
6 Pa 0.834 0.166 0.500
7 Te 0.108 0.430 0.290
8 Te 0.249 0.249 0.711
9 Te 0.430 0.108 0.290
10 Te 0.570 0.892 0.710
11 Te 0.751 0.751 0.289
12 Te 0.892 0.570 0.710

Output
Space group ... C2/m, No. 12
Magnetization ... 4.0 μB/f.u.
VASP energy ... -59.75 eV/cell



K3Sc2PaTe6: optimized geometry, PBE.

Unit cell a=7.542 b=7.542 c=8.661 alpha=98.36 beta=98.36 gamma=120.00
Element x y z (fractional)
1 K 0.000 0.000 0.000
2 K 0.336 0.664 0.000
3 K 0.664 0.336 0.000
4 Sc 0.167 0.833 0.500
5 Sc 0.833 0.167 0.500
6 Pa 0.500 0.500 0.500
7 Te 0.088 0.432 0.295
8 Te 0.224 0.224 0.704
9 Te 0.432 0.088 0.295
10 Te 0.568 0.912 0.705
11 Te 0.776 0.776 0.296
12 Te 0.912 0.568 0.705

Output
Space group ... C2/m, No. 12
Magnetization ... 2.0 μB/f.u.
VASP energy ... -57.88 eV/cell



KPa2Se6: optimized geometry, PBE.

Unit cell a=7.470 b=7.470 c=7.895 alpha=99.40 beta=99.40 gamma=124.50
Element x y z (fractional)
1 K 0.000 0.000 0.000
2 Pa 0.341 0.659 0.500
3 Pa 0.659 0.341 0.500
4 Se 0.101 0.703 0.716
5 Se 0.297 0.899 0.284
6 Se 0.472 0.472 0.719
7 Se 0.528 0.528 0.281
8 Se 0.703 0.101 0.716
9 Se 0.899 0.297 0.284

Output
Space group ... C2/m, No. 12
Magnetization ... 0.0 μB/f.u.
VASP energy ... -51.61 eV/cell
ΔE to the lowest computed polymorph ... 56.2 meV per atom



KPa4Se8: optimized geometry, PBE.

Unit cell a=8.630 b=8.630 c=8.630 alpha=60.00 beta=60.00 gamma=60.00
Element x y z (fractional)
1 K 0.000 0.000 0.000
2 Pa 0.132 0.623 0.623
3 Pa 0.623 0.132 0.623
4 Pa 0.623 0.623 0.132
5 Pa 0.623 0.623 0.623
6 Se 0.387 0.387 0.387
7 Se 0.387 0.387 0.838
8 Se 0.387 0.838 0.387
9 Se 0.428 0.857 0.857
10 Se 0.838 0.387 0.387
11 Se 0.857 0.428 0.857
12 Se 0.857 0.857 0.428
13 Se 0.857 0.857 0.857

Output
Space group ... F-43m, No. 216
Magnetization ... 5.0 μB/f.u.
VASP energy ... -83.73 eV/cell
ΔE to the lowest computed polymorph ... 5.4 meV per atom



KPaSe4: optimized geometry, PBE.

Unit cell a=6.540 b=6.540 c=8.297 alpha=90.00 beta=90.00 gamma=99.72
Element x y z (fractional)
1 K 0.250 0.250 0.000
2 K 0.750 0.750 0.000
3 Pa 0.250 0.250 0.500
4 Pa 0.750 0.750 0.500
5 Se 0.081 0.919 0.698
6 Se 0.105 0.605 0.312
7 Se 0.395 0.895 0.312
8 Se 0.419 0.581 0.698
9 Se 0.581 0.419 0.302
10 Se 0.605 0.105 0.688
11 Se 0.895 0.395 0.688
12 Se 0.919 0.081 0.302

Output
Space group ... Cmme, No. 67
Magnetization ... 0.0 μB/f.u.
VASP energy ... -62.62 eV/cell
ΔE to the lowest computed polymorph ... 0.0 meV per atom



KPa2Se6: optimized geometry, PBE.

Unit cell a=8.133 b=8.133 c=4.047 alpha=90.00 beta=90.00 gamma=120.00
Element x y z (fractional)
1 K 0.000 0.000 0.000
2 Pa 0.333 0.667 0.758
3 Pa 0.667 0.333 0.242
4 Se 0.093 0.406 0.258
5 Se 0.314 0.907 0.258
6 Se 0.406 0.314 0.742
7 Se 0.594 0.686 0.258
8 Se 0.686 0.093 0.742
9 Se 0.907 0.594 0.742

Output
Space group ... P-3, No. 147
Magnetization ... 0.0 μB/f.u.
VASP energy ... -52.11 eV/cell
ΔE to the lowest computed polymorph ... 0.0 meV per atom